Record 1
! LiGaSn PBE optimized geometry; values from VASP
&SYSTEM
  ibrav = 0, nat = 6, ntyp = 3
/
ATOMIC_SPECIES
Li 6.94 Li.upf
Ga 69.72 Ga.upf
Sn 118.71 Sn.upf
ATOMIC_POSITIONS crystal
Li 0.333 0.667 0.250
Li 0.667 0.333 0.750
Ga 0.000 0.000 0.250
Ga 0.000 0.000 0.750
Sn 0.000 0.000 0.000
Sn 0.000 0.000 0.500
CELL_PARAMETERS angstrom
4.457 0.000 0.000
-2.229 3.860 0.000
0.000 0.000 10.533
! * DFT formation energy: 0.4270 eV/atom
! * space-group type: P6_3/mmc (194)

Record 2
! BaSmGaHg PBE optimized geometry; values from VASP
&SYSTEM
  ibrav = 0, nat = 4, ntyp = 4
/
ATOMIC_SPECIES
Ba 137.33 Ba.upf
Sm 150.36 Sm.upf
Ga 69.72 Ga.upf
Hg 200.59 Hg.upf
ATOMIC_POSITIONS crystal
Ba 0.000 0.000 0.000
Sm 0.500 0.500 0.500
Ga 0.250 0.250 0.250
Hg 0.750 0.750 0.750
CELL_PARAMETERS angstrom
0.000 3.943 3.943
3.943 0.000 3.943
3.943 3.943 0.000
! * DFT formation energy: -0.3393 eV/atom
! * space-group type: F-43m (216)

Record 3
! CdH3I PBE optimized geometry; values from VASP
&SYSTEM
  ibrav = 0, nat = 5, ntyp = 3
/
ATOMIC_SPECIES
Cd 112.41 Cd.upf
H 1.01 H.upf
I 126.90 I.upf
ATOMIC_POSITIONS crystal
Cd 0.000 0.000 0.000
H 0.000 0.500 0.500
H 0.500 0.000 0.500
H 0.500 0.500 0.000
I 0.500 0.500 0.500
CELL_PARAMETERS angstrom
4.285 0.000 0.000
0.000 4.285 0.000
0.000 0.000 4.285
! * polymorph energy (0 for the lowest one): 0.38 eV per formula unit
! * space-group type: Pm-3m (221)

Record 4
! Cu2OsSe PBE optimized geometry; values from VASP
&SYSTEM
  ibrav = 0, nat = 4, ntyp = 3
/
ATOMIC_SPECIES
Cu 63.55 Cu.upf
Os 190.23 Os.upf
Se 78.96 Se.upf
ATOMIC_POSITIONS crystal
Cu 0.000 0.000 0.000
Cu 0.500 0.500 0.225
Os 0.500 0.500 0.754
Se 0.000 0.000 0.512
CELL_PARAMETERS angstrom
1.420 -2.372 0.000
1.420 2.372 0.000
0.000 0.000 8.867
! * E_form (uncorrected): 221 kJ/mol of formula units
! * space-group type: Cmm2 (35)

Record 5
! U2Al3Au3 PBE optimized geometry; values from VASP
&SYSTEM
  ibrav = 0, nat = 8, ntyp = 3
/
ATOMIC_SPECIES
U 238.03 U.upf
Al 26.98 Al.upf
Au 196.97 Au.upf
ATOMIC_POSITIONS crystal
U 0.333 0.667 0.000
U 0.667 0.333 0.000
Al 0.000 0.227 0.000
Al 0.227 0.000 0.000
Al 0.773 0.773 0.000
Au 0.000 0.686 0.500
Au 0.314 0.314 0.500
Au 0.686 0.000 0.500
CELL_PARAMETERS angstrom
7.996 0.000 0.000
-3.998 6.925 0.000
0.000 0.000 2.993
! * DFT formation energy: -0.0162 eV/atom
! * space-group type: P-62m (189)

Record 6
! Ba2AgS2Cl2 PBE optimized geometry; values from VASP
&SYSTEM
  ibrav = 0, nat = 7, ntyp = 4
/
ATOMIC_SPECIES
Ba 137.33 Ba.upf
Ag 107.87 Ag.upf
S 32.06 S.upf
Cl 35.45 Cl.upf
ATOMIC_POSITIONS crystal
Ba 0.126 0.126 0.000
Ba 0.874 0.874 0.000
Ag 0.500 0.500 0.000
S 0.000 0.500 0.500
S 0.500 0.000 0.500
Cl 0.312 0.312 0.000
Cl 0.688 0.688 0.000
CELL_PARAMETERS angstrom
-2.456 2.456 8.423
2.456 -2.456 8.423
2.456 2.456 -8.423
! * E_form (uncorrected): -1106 kJ/mol of formula units
! * space-group type: I4/mmm (139)

Record 7
! Cs3In4Au PBE optimized geometry; values from VASP
&SYSTEM
  ibrav = 0, nat = 16, ntyp = 3
/
ATOMIC_SPECIES
Cs 132.91 Cs.upf
In 114.82 In.upf
Au 196.97 Au.upf
ATOMIC_POSITIONS crystal
Cs 0.250 0.016 0.215
Cs 0.250 0.484 0.215
Cs 0.250 0.750 0.496
Cs 0.750 0.250 0.504
Cs 0.750 0.516 0.785
Cs 0.750 0.984 0.785
In 0.015 0.750 0.994
In 0.250 0.148 0.705
In 0.250 0.352 0.705
In 0.485 0.750 0.994
In 0.515 0.250 0.006
In 0.750 0.648 0.295
In 0.750 0.852 0.295
In 0.985 0.250 0.006
Au 0.250 0.250 0.349
Au 0.750 0.750 0.651
CELL_PARAMETERS angstrom
6.514 0.000 0.000
0.000 15.621 0.000
0.000 0.000 6.976
! * DFT formation energy: -0.1284 eV/atom
! * space-group type: Pmmn (59)

Record 8
! TbDyPd2 PBE optimized geometry; values from VASP
&SYSTEM
  ibrav = 0, nat = 4, ntyp = 3
/
ATOMIC_SPECIES
Tb 158.93 Tb.upf
Dy 162.50 Dy.upf
Pd 106.42 Pd.upf
ATOMIC_POSITIONS crystal
Tb 0.000 0.000 0.000
Dy 0.500 0.725 0.725
Pd 0.000 0.276 0.276
Pd 0.500 0.449 0.449
CELL_PARAMETERS angstrom
4.536 0.000 0.000
0.000 1.883 5.291
0.000 -1.883 5.291
! * polymorph energy (0 for the lowest one): 0.00 eV per formula unit
! * DFT formation energy: -0.9130 eV/atom
! * space-group type: Amm2 (38)

Here are the calculated total moment numbers, same order: 0.00; 0.00; 0.00; 0.00; 6.71; 0.00; 0.00; 0.00 (μB per formula unit).
Here are the calculated E_tot numbers, same order: -2.554; -2.832; -1.667; -5.155; -5.471; -4.301; -2.227; -5.817 (eV/atom).
Here are the calculated V numbers, same order: 30.2; 30.6; 15.7; 14.9; 20.7; 29.0; 44.4; 22.6 (Å³ per atom).